# 1
! LiSiRu2, optimized geometry, DFT PBE; values from VASP
&SYSTEM
  ibrav = 0, nat = 4, ntyp = 3
/
ATOMIC_SPECIES
Li 6.94 Li.upf
Si 28.09 Si.upf
Ru 101.07 Ru.upf
ATOMIC_POSITIONS crystal
Li 0.000 0.000 0.000
Si 0.835 0.500 0.666
Ru 0.270 0.000 0.535
Ru 0.561 0.500 0.122
CELL_PARAMETERS angstrom
2.850 0.000 0.000
0.000 3.980 0.000
-1.412 0.000 4.406
! final energy	-6.66	eV per atom
! density	7.9	g/cm3

=====

# 2
! Tb3DyCd2, optimized geometry, DFT PBE; values from VASP
&SYSTEM
  ibrav = 0, nat = 6, ntyp = 3
/
ATOMIC_SPECIES
Tb 158.93 Tb.upf
Dy 162.50 Dy.upf
Cd 112.41 Cd.upf
ATOMIC_POSITIONS crystal
Tb 0.000 0.000 0.000
Tb 0.000 0.000 0.308
Tb 0.000 0.000 0.692
Dy 0.500 0.500 0.500
Cd 0.500 0.500 0.153
Cd 0.500 0.500 0.847
CELL_PARAMETERS angstrom
3.659 0.000 0.000
0.000 3.659 0.000
0.000 0.000 12.731
! final energy	-3.58	eV per atom
! calculated formation energy	-0.19	eV per atom
! density	8.4	g/cm3

=====

# 3
! RbPaTiO5, optimized geometry, DFT PBE; values from VASP
&SYSTEM
  ibrav = 0, nat = 16, ntyp = 4
/
ATOMIC_SPECIES
Rb 85.47 Rb.upf
Pa 231.04 Pa.upf
Ti 47.87 Ti.upf
O 16.00 O.upf
ATOMIC_POSITIONS crystal
Rb 0.168 0.832 0.750
Rb 0.832 0.168 0.250
Pa 0.500 0.500 0.000
Pa 0.500 0.500 0.500
Ti 0.189 0.811 0.250
Ti 0.811 0.189 0.750
O 0.120 0.275 0.890
O 0.218 0.624 0.389
O 0.275 0.120 0.390
O 0.376 0.782 0.111
O 0.441 0.559 0.750
O 0.559 0.441 0.250
O 0.624 0.218 0.889
O 0.725 0.880 0.610
O 0.782 0.376 0.611
O 0.880 0.725 0.110
CELL_PARAMETERS angstrom
3.834 -5.037 0.000
3.834 5.037 0.000
-3.531 0.000 7.388
! final energy	-8.50	eV per atom
! density	5.2	g/cm3

=====

# 4
! Pr3AgSe5, optimized geometry, DFT PBE; values from VASP
&SYSTEM
  ibrav = 0, nat = 18, ntyp = 3
/
ATOMIC_SPECIES
Pr 140.91 Pr.upf
Ag 107.87 Ag.upf
Se 78.96 Se.upf
ATOMIC_POSITIONS crystal
Pr 0.153 0.653 0.806
Pr 0.250 0.250 0.000
Pr 0.347 0.153 0.500
Pr 0.653 0.847 0.500
Pr 0.750 0.750 0.000
Pr 0.847 0.347 0.194
Ag 0.250 0.750 0.500
Ag 0.750 0.250 0.500
Se 0.000 0.000 0.000
Se 0.034 0.183 0.500
Se 0.183 0.683 0.149
Se 0.317 0.466 0.500
Se 0.466 0.966 0.149
Se 0.500 0.500 0.000
Se 0.534 0.034 0.851
Se 0.683 0.534 0.500
Se 0.817 0.317 0.851
Se 0.966 0.817 0.500
CELL_PARAMETERS angstrom
-4.027 4.027 7.227
4.027 -4.027 7.227
4.027 4.027 -7.227
! final energy	-5.27	eV per atom
! density	6.6	g/cm3